First-principles (GGA-PBE) data for a relaxed Li2Tl2Hg crystal, as listed in Alexandria.

a = 7.7351 Å, b = 7.7351 Å, c = 7.7351 Å
α = 149.38°, β = 149.38°, γ = 43.85°
With the nearest neighbours (Å) after each atom.
Fractional coordinates of all 5 atoms:
Li  0.2500  0.7500  0.5000  4 Li 2.89, 4 Tl 2.91
Li  0.7500  0.2500  0.5000  4 Li 2.89, 4 Tl 2.91
Tl  0.1055  0.1055  0.0000  4 Li 2.91, 1 Tl 3.03
Tl  0.8945  0.8945  0.0000  4 Li 2.91, 1 Tl 3.03
Hg  0.5000  0.5000  0.0000  8 Tl 3.26

Computed properties:
**VASP energy**: -9.0 eV/cell


First-principles (GGA-PBE) data for a relaxed TbCeHoTc crystal, as listed in Alexandria.

a = 6.9336 Å, b = 6.9336 Å, c = 6.9336 Å
α = 37.51°, β = 37.51°, γ = 37.51°
With the nearest neighbours (Å) after each atom.
Fractional coordinates of all 4 atoms:
Tb  0.0000  0.0000  0.0000  3 Ce 3.35, 3 Ho 3.48, 3 Tc 3.51
Ce  0.5558  0.5558  0.5558  3 Tc 2.59
Ho  0.7877  0.7877  0.7877  3 Tc 3.09, 3 Ce 3.23
Tc  0.2095  0.2095  0.2095  3 Ce 2.59

Computed properties:
**VASP energy**: -25.0 eV/cell


First-principles (GGA-PBE) data for a relaxed Co3PtAu crystal, as listed in Alexandria.

a = 4.5918 Å, b = 4.5918 Å, c = 4.5918 Å
α = 90.00°, β = 90.00°, γ = 90.00°
With the nearest neighbours (Å) after each atom.
Fractional coordinates of all 5 atoms:
Co  0.0000  0.0000  0.5000  2 Pt 2.30
Co  0.0000  0.5000  0.0000  2 Pt 2.30
Co  0.5000  0.0000  0.0000  2 Pt 2.30
Pt  0.0000  0.0000  0.0000  6 Co 2.30
Au  0.5000  0.5000  0.5000  12 Co 3.25

Computed properties:
**VASP energy**: -24.4 eV/cell


First-principles (GGA-PBE) data for a relaxed La2Np3S8 crystal, as listed in Alexandria.

a = 8.3840 Å, b = 8.3840 Å, c = 4.7391 Å
α = 90.00°, β = 90.00°, γ = 110.56°
With the nearest neighbours (Å) after each atom.
Fractional coordinates of all 13 atoms:
La  0.2313  0.7687  0.0000  6 S 2.83-3.08
La  0.7687  0.2313  0.0000  6 S 2.83-3.08
Np  0.2309  0.2309  0.5000  8 S 2.75-3.00
Np  0.5000  0.5000  0.0000  8 S 2.78-2.83
Np  0.7691  0.7691  0.5000  8 S 2.75-3.00
S  0.1188  0.8812  0.5000  2 Np 2.75, 2 La 2.83
S  0.1453  0.3804  0.0000  3 Np 2.78-2.89, 2 La 2.96-3.08
S  0.3804  0.1453  0.0000  3 Np 2.78-2.89, 2 La 2.96-3.08
S  0.3873  0.6127  0.5000  4 Np 2.83-3.00, 1 S 3.11
S  0.6127  0.3873  0.5000  4 Np 2.83-3.00, 1 S 3.11
S  0.6196  0.8547  0.0000  3 Np 2.78-2.89, 2 La 2.96-3.08
S  0.8547  0.6196  0.0000  3 Np 2.78-2.89, 2 La 2.96-3.08
S  0.8812  0.1188  0.5000  2 Np 2.75, 2 La 2.83

Computed properties:
**Raw formation energy**: -1.61 eV per atom


First-principles (GGA-PBE) data for a relaxed Pr6C2S3N crystal, as listed in Alexandria.

a = 8.9292 Å, b = 8.9292 Å, c = 8.0325 Å
α = 105.44°, β = 105.44°, γ = 25.21°
With the nearest neighbours (Å) after each atom.
Fractional coordinates of all 12 atoms:
Pr  0.0081  0.0081  0.2301  1 C 2.61, 2 N 2.66
Pr  0.3266  0.3266  0.4352  3 C 2.69-2.74, 3 S 2.92-2.93
Pr  0.3412  0.3412  0.8988  2 C 2.66, 1 N 2.66, 3 S 2.93-2.94
Pr  0.6588  0.6588  0.1012  2 C 2.66, 1 N 2.66, 3 S 2.93-2.94
Pr  0.6734  0.6734  0.5648  3 C 2.69-2.74, 3 S 2.92-2.93
Pr  0.9919  0.9919  0.7699  1 C 2.61, 2 N 2.66
C  0.1635  0.1635  0.3284  6 Pr 2.61-2.74
C  0.8365  0.8365  0.6716  6 Pr 2.61-2.74
S  0.1667  0.1667  0.8333  6 Pr 2.93-2.95
S  0.5000  0.5000  0.5000  6 Pr 2.92-2.95
S  0.8333  0.8333  0.1667  6 Pr 2.93-2.95
N  0.5000  0.5000  0.0000  6 Pr 2.66

Computed properties:
**Raw formation energy**: -1.28 eV per atom


First-principles (GGA-PBE) data for a relaxed AcTmAgPb crystal, as listed in Alexandria.

a = 5.5148 Å, b = 5.5148 Å, c = 5.5148 Å
α = 60.00°, β = 60.00°, γ = 60.00°
With the nearest neighbours (Å) after each atom.
Fractional coordinates of all 4 atoms:
Ac  0.0000  0.0000  0.0000  4 Pb 3.38, 4 Ag 3.38
Tm  0.5000  0.5000  0.5000  4 Pb 3.38, 4 Ag 3.38
Ag  0.2500  0.2500  0.2500  4 Tm 3.38, 4 Ac 3.38
Pb  0.7500  0.7500  0.7500  4 Tm 3.38, 4 Ac 3.38

Computed properties:
**VASP energy**: -16.4 eV/cell


First-principles (GGA-PBE) data for a relaxed Li2DyTmTl4 crystal, as listed in Alexandria.

a = 8.9293 Å, b = 8.9293 Å, c = 8.9293 Å
α = 33.67°, β = 33.67°, γ = 33.67°
With the nearest neighbours (Å) after each atom.
Fractional coordinates of all 8 atoms:
Li  0.2500  0.2500  0.2500  8 Tl 3.14-3.17
Li  0.7500  0.7500  0.7500  8 Tl 3.14-3.17
Dy  0.0000  0.0000  0.0000  8 Tl 3.17
Tm  0.5000  0.5000  0.5000  8 Tl 3.14-3.16
Tl  0.1257  0.1257  0.1257  4 Li 3.14-3.17, 3 Tm 3.16, 1 Dy 3.17
Tl  0.3757  0.3757  0.3757  1 Tm 3.14, 4 Li 3.16-3.17, 3 Dy 3.17
Tl  0.6243  0.6243  0.6243  1 Tm 3.14, 4 Li 3.16-3.17, 3 Dy 3.17
Tl  0.8743  0.8743  0.8743  4 Li 3.14-3.17, 3 Tm 3.16, 1 Dy 3.17

Computed properties:
**VASP energy**: -24.8 eV/cell


First-principles (GGA-PBE) data for a relaxed LaPPt2 crystal, as listed in Alexandria.

a = 3.2194 Å, b = 3.2194 Å, c = 7.3042 Å
α = 90.00°, β = 90.00°, γ = 90.00°
With the nearest neighbours (Å) after each atom.
Fractional coordinates of all 4 atoms:
La  0.0000  0.0000  0.0000  8 Pt 3.18, 4 La 3.22
P  0.0000  0.0000  0.5000  8 Pt 2.69
Pt  0.5000  0.5000  0.3049  4 P 2.69, 1 Pt 2.85
Pt  0.5000  0.5000  0.6951  4 P 2.69, 1 Pt 2.85

Computed properties:
**VASP energy**: -24.2 eV/cell


First-principles (GGA-PBE) data for a relaxed CeScO2 crystal, as listed in Alexandria.

a = 6.3318 Å, b = 6.3318 Å, c = 6.3318 Å
α = 29.47°, β = 29.47°, γ = 29.47°
With the nearest neighbours (Å) after each atom.
Fractional coordinates of all 4 atoms:
Ce  0.0000  0.0000  0.0000  6 O 2.58-2.69
Sc  0.1737  0.1737  0.1737  6 O 2.17-2.22
O  0.5681  0.5681  0.5681  3 Sc 2.17
O  0.7737  0.7737  0.7737  3 Sc 2.22

Computed properties:
**Raw formation energy**: -2.76 eV per atom


First-principles (GGA-PBE) data for a relaxed Li2ReRu crystal, as listed in Alexandria.

a = 5.1527 Å, b = 5.1527 Å, c = 5.1527 Å
α = 139.80°, β = 139.80°, γ = 58.16°
With the nearest neighbours (Å) after each atom.
Fractional coordinates of all 4 atoms:
Li  0.2500  0.7500  0.5000  4 Li 2.50
Li  0.7500  0.2500  0.5000  4 Li 2.50
Re  0.0000  0.0000  0.0000  4 Ru 2.50
Ru  0.5000  0.5000  0.0000  4 Re 2.50

Computed properties:
**VASP energy**: -24.2 eV/cell


First-principles (GGA-PBE) data for a relaxed TmGa4Ir2 crystal, as listed in Alexandria.

a = 17.0752 Å, b = 4.2645 Å, c = 6.6244 Å
α = 90.00°, β = 90.00°, γ = 90.00°
With the nearest neighbours (Å) after each atom.
Fractional coordinates of all 28 atoms:
Tm  0.1412  0.2500  0.0171  9 Ga 2.98-3.24, 4 Ir 3.15-3.25
Tm  0.3588  0.7500  0.5171  9 Ga 2.98-3.24, 4 Ir 3.15-3.25
Tm  0.6412  0.2500  0.4829  9 Ga 2.98-3.24, 4 Ir 3.15-3.25
Tm  0.8588  0.7500  0.9829  9 Ga 2.98-3.24, 4 Ir 3.15-3.25
Ga  0.0370  0.7500  0.8503  3 Ir 2.56-2.60, 2 Ga 2.72-2.86
Ga  0.0679  0.2500  0.4866  4 Ir 2.53-2.73
Ga  0.1857  0.7500  0.3172  4 Ir 2.57-2.59, 1 Ga 2.73
Ga  0.1893  0.7500  0.7290  3 Ir 2.55-2.56, 2 Ga 2.72-2.73
Ga  0.3107  0.2500  0.2290  3 Ir 2.55-2.56, 2 Ga 2.72-2.73
Ga  0.3143  0.2500  0.8172  4 Ir 2.57-2.59, 1 Ga 2.73
Ga  0.4321  0.7500  0.9866  4 Ir 2.53-2.73
Ga  0.4630  0.2500  0.3503  3 Ir 2.56-2.60, 2 Ga 2.72-2.86
Ga  0.5370  0.7500  0.6497  3 Ir 2.56-2.60, 2 Ga 2.72-2.86
Ga  0.5679  0.2500  0.0134  4 Ir 2.53-2.73
Ga  0.6857  0.7500  0.1828  4 Ir 2.57-2.59, 1 Ga 2.73
Ga  0.6893  0.7500  0.7710  3 Ir 2.55-2.56, 2 Ga 2.72-2.73
Ga  0.8107  0.2500  0.2710  3 Ir 2.55-2.56, 2 Ga 2.72-2.73
Ga  0.8143  0.2500  0.6828  4 Ir 2.57-2.59, 1 Ga 2.73
Ga  0.9321  0.7500  0.5134  4 Ir 2.53-2.73
Ga  0.9630  0.2500  0.1497  3 Ir 2.56-2.60, 2 Ga 2.72-2.86
Ir  0.0373  0.7500  0.2421  7 Ga 2.54-2.73
Ir  0.2152  0.2500  0.5257  7 Ga 2.53-2.59
Ir  0.2848  0.7500  0.0257  7 Ga 2.53-2.59
Ir  0.4627  0.2500  0.7421  7 Ga 2.54-2.73
Ir  0.5373  0.7500  0.2579  7 Ga 2.54-2.73
Ir  0.7152  0.2500  0.9743  7 Ga 2.53-2.59
Ir  0.7848  0.7500  0.4743  7 Ga 2.53-2.59
Ir  0.9627  0.2500  0.7579  7 Ga 2.54-2.73

Computed properties:
**VASP energy**: -154.6 eV/cell


First-principles (GGA-PBE) data for a relaxed PPbSe2 crystal, as listed in Alexandria.

a = 3.4795 Å, b = 3.4795 Å, c = 7.2650 Å
α = 90.00°, β = 90.00°, γ = 90.00°
With the nearest neighbours (Å) after each atom.
Fractional coordinates of all 4 atoms:
P  0.0000  0.0000  0.0000  8 Se 2.92
Pb  0.0000  0.0000  0.5000  8 Se 3.21, 4 Pb 3.48
Se  0.5000  0.5000  0.2159  4 P 2.92, 1 Se 3.14, 4 Pb 3.21
Se  0.5000  0.5000  0.7841  4 P 2.92, 1 Se 3.14, 4 Pb 3.21

Computed properties:
**Raw formation energy**: 0.32 eV per atom


First-principles (GGA-PBE) data for a relaxed ThMg2AlAg2 crystal, as listed in Alexandria.

a = 6.7446 Å, b = 6.7446 Å, c = 6.7446 Å
α = 135.83°, β = 135.83°, γ = 64.24°
With the nearest neighbours (Å) after each atom.
Fractional coordinates of all 6 atoms:
Th  0.0000  0.0000  0.0000  2 Ag 3.27, 4 Al 3.59
Mg  0.2500  0.7500  0.5000  4 Ag 2.57
Mg  0.7500  0.2500  0.5000  4 Ag 2.57
Al  0.5000  0.5000  0.0000  2 Ag 2.45
Ag  0.2860  0.2860  0.0000  1 Al 2.45, 4 Mg 2.57
Ag  0.7140  0.7140  0.0000  1 Al 2.45, 4 Mg 2.57

Computed properties:
**VASP energy**: -19.0 eV/cell